VASP calculation (PBE-GGA) on a relaxed structure of Dy2InHg5.

space-group type: I4/mmm, No. 139
electronic total energy: -1.936 eV/atom
magnetic moment: 0.0 Bohr magnetons per cell
crystal system: tetragonal
N(E_F): 5.1 states/eV/f.u.
formation energy: -0.25 eV per atom

extended XYZ file:
```
8
Lattice="5.394 0.000 0.000 0.000 5.394 0.000 -2.697 -2.697 6.893" Properties=species:S:1:pos:R:3 pbc="T T T"
Dy 2.697 2.697 3.460
Hg 0.000 2.697 5.156
Hg 0.000 2.697 1.737
In 0.000 0.000 0.000
Hg 2.697 0.000 1.737
Hg 2.697 0.000 5.156
Dy 0.000 0.000 3.432
Hg 2.697 2.697 0.000
```